A plane-wave DFT calculation with PBE was carried out for a relaxed MgTlRhF6 crystal.

Cell and atoms, written as POSCAR:
```
MgTlRhF6
1.0
7.356 0.000 0.000
0.000 7.347 0.000
-3.678 -3.674 5.294
F Mg Rh Tl
12 2 2 2
Cartesian
-1.504 -0.395 4.026
0.000 5.510 1.991
-1.504 4.069 4.026
3.678 -1.837 3.304
0.000 1.837 4.466
5.182 4.069 1.268
2.174 -0.395 1.268
2.174 4.069 1.268
5.182 -0.395 1.268
3.678 1.837 0.828
1.504 4.069 4.026
1.504 -0.395 4.026
1.839 -1.837 2.647
-1.839 -1.837 2.647
3.678 0.000 0.000
3.678 3.674 0.000
3.678 1.837 4.516
0.000 1.837 0.779
```

Calculated values
spin magnetization = 0.00 μB/f.u.
energy = -4.797 eV/atom
calculated density = 5.17 Mg/m³